No. 1
SiOsRu2: relaxed, PBE-GGA.

Results
Crystal system: orthorhombic
SG: Cmmm (65)
M_tot (μB/f.u.): 0.3
Formation energy from raw total energies (meV/atom): 229

```
4
Lattice="-1.4427 -2.2036 0.7475 2.6901 -0.2927 -0.4168 1.4598 1.8094 8.1512" Properties=species:S:1:pos:R:3 pbc="T T T"
Ru 0.0344 0.0426 0.1921
Os 1.7185 0.1089 6.2788
Ru 0.6955 0.8621 3.8835
Si 0.9887 -0.7958 2.2032
```


No. 2
SiOsRu2: relaxed, PBE-GGA.

Results
Crystal system: orthorhombic
SG: Pmmm (47)
M_tot (μB/f.u.): 0.0
Formation energy from raw total energies (meV/atom): -40

```
4
Lattice="2.7653 0.0000 0.0000 0.0000 3.7379 0.0000 0.0000 0.0000 5.2934" Properties=species:S:1:pos:R:3 pbc="T T T"
Ru 0.0000 0.0000 2.6240
Os 1.3827 1.8689 3.9701
Si 1.3827 1.8689 1.3234
Ru 0.0000 0.0000 0.0227
```


No. 3
SiOs2Ru: relaxed, PBE-GGA.

Results
Crystal system: monoclinic
SG: P2/m (10)
M_tot (μB/f.u.): 0.0
Formation energy from raw total energies (meV/atom): -7

```
4
Lattice="3.9871 0.0000 0.0000 0.0000 2.7688 0.0038 0.0000 1.5648 5.0309" Properties=species:S:1:pos:R:3 pbc="T T T"
Si 1.9935 3.2502 3.7760
Os 0.0000 3.9914 4.9716
Ru 1.9935 1.0834 1.2587
Os 0.0000 2.5089 2.5804
```


No. 4
SiOsRu: relaxed, PBE-GGA.

Results
Crystal system: orthorhombic
Relative energy among the computed polymorphs (meV/atom): 221
SG: Imm2 (44)
M_tot (μB/f.u.): 0.0
Formation energy from raw total energies (meV/atom): -1

```
3
Lattice="-1.7230 -1.6292 3.8250 2.7827 -2.4373 2.5631 -0.5768 4.0321 -1.9138" Properties=species:S:1:pos:R:3 pbc="T T T"
Ru 0.3572 -1.3706 2.1530
Si 0.7062 -2.7101 4.2573
Os 1.0560 -4.0522 6.3657
```


No. 5
SiOsRu: relaxed, PBE-GGA.

Results
Crystal system: tetragonal
Relative energy among the computed polymorphs (meV/atom): 0
SG: I4mm (107)
M_tot (μB/f.u.): 0.0
Formation energy from raw total energies (meV/atom): -222

```
3
Lattice="-1.7970 -4.0811 2.6738 1.5318 -4.9465 0.4676 1.3161 5.0300 0.0127" Properties=species:S:1:pos:R:3 pbc="T T T"
Ru -0.0839 -2.8580 0.9945
Os -0.0043 -0.1481 0.0515
Si -0.1769 -6.0216 2.0953
```


No. 6
Si2OsRu: relaxed, PBE-GGA.

Results
Crystal system: tetragonal
SG: I-42d (122)
M_tot (μB/f.u.): 0.0
Formation energy from raw total energies (meV/atom): 447

```
8
Lattice="-1.7137 3.5247 -3.5979 -0.3004 -3.8653 -3.6435 -6.0969 -1.1527 -2.1588" Properties=species:S:1:pos:R:3 pbc="T T T"
Si -1.9271 -2.2615 -3.2685
Ru -3.7022 -2.5941 -4.7115
Os 0.0000 0.0000 0.0000
Si -6.3349 -1.1605 -7.9533
Ru -1.0071 -0.1703 -3.6207
Si -5.3282 -0.9943 -4.3365
Os -4.4089 1.1008 -4.6887
Si -2.6320 1.4297 -3.2419
```


No. 7
SiOsRu: relaxed, PBE-GGA.

Results
Crystal system: orthorhombic
Relative energy among the computed polymorphs (meV/atom): 216
SG: Pnma (62)
M_tot (μB/f.u.): 0.0
Formation energy from raw total energies (meV/atom): -6

```
12
Lattice="4.2272 0.0000 0.0000 0.0000 5.5718 0.0000 0.0000 0.0000 7.6747" Properties=species:S:1:pos:R:3 pbc="T T T"
Os 3.1704 5.3791 7.0673
Ru 3.1704 2.7126 6.6157
Os 1.0568 2.5932 4.4447
Si 3.1704 1.0352 4.9438
Os 3.1704 2.9786 3.2300
Ru 3.1704 0.0733 2.7784
Ru 1.0568 2.8592 1.0589
Ru 1.0568 5.4985 4.8963
Si 1.0568 4.5366 2.7308
Os 1.0568 0.1927 0.6074
Si 1.0568 3.8211 6.5682
Si 3.1704 1.7507 1.1065
```


No. 8
Si2OsRu: relaxed, PBE-GGA.

Results
Crystal system: orthorhombic
SG: Pmmm (47)
M_tot (μB/f.u.): 0.0
Formation energy from raw total energies (meV/atom): -40

```
4
Lattice="2.8686 0.0000 0.0000 0.0000 4.9749 0.0000 0.0000 0.0000 3.9031" Properties=species:S:1:pos:R:3 pbc="T T T"
Si 1.4343 2.4874 0.0000
Si 0.0000 0.0000 0.0000
Os 1.4343 0.0000 1.9515
Ru 0.0000 2.4874 1.9515
```


M_tot of number 5 (SiOsRu)? 0.0 μB/f.u.


Which value of formation energy from raw total energies does entry 2 give? -40 meV/atom


Copy entry 1 word for word.
SiOsRu2: relaxed, PBE-GGA.

Results
Crystal system: orthorhombic
SG: Cmmm (65)
M_tot (μB/f.u.): 0.3
Formation energy from raw total energies (meV/atom): 229

```
4
Lattice="-1.4427 -2.2036 0.7475 2.6901 -0.2927 -0.4168 1.4598 1.8094 8.1512" Properties=species:S:1:pos:R:3 pbc="T T T"
Ru 0.0344 0.0426 0.1921
Os 1.7185 0.1089 6.2788
Ru 0.6955 0.8621 3.8835
Si 0.9887 -0.7958 2.2032
```